Entry 1:
Below is a geometry-optimized HfFe2P2 structure, with properties calculated at the PBE level.

Structure (CIF):
```
data_HfFe2P2
_space_group_name_H-M_alt 'P 4/m b m'
_space_group_IT_number 127
_space_group_name_Hall '-P 4 2ab'
_cell_length_a 6.810
_cell_length_b 6.810
_cell_length_c 2.728
_cell_angle_alpha 90.00
_cell_angle_beta 90.00
_cell_angle_gamma 90.00
loop_
_atom_site_label
_atom_site_fract_x
_atom_site_fract_y
_atom_site_fract_z
_atom_site_occupancy
Hf1 0.000 0.000 0.000 1
Fe1 0.137 0.363 0.500 1
P1 0.146 0.646 0.000 1
```

DOS(E_F) ... 10.39 states/eV/cell
DFT total energy ... -7.9374 eV/atom
Formation energy ... -0.40 eV per atom

Entry 2:
Below is a geometry-optimized Hf2FeP structure, with properties calculated at the PBE level.

Structure (CIF):
```
data_Hf2FeP
_space_group_name_H-M_alt 'R -3 m'
_space_group_IT_number 166
_space_group_name_Hall '-R 3 2"'
_cell_length_a 3.4459
_cell_length_b 3.4459
_cell_length_c 20.6646
_cell_angle_alpha 90.00
_cell_angle_beta 90.00
_cell_angle_gamma 120.00
loop_
_atom_site_label
_atom_site_fract_x
_atom_site_fract_y
_atom_site_fract_z
_atom_site_occupancy
Hf1 0.0000 0.0000 0.2473 1
Fe1 0.0000 0.0000 0.0000 1
P1 0.0000 0.0000 0.5000 1
```

DOS(E_F) ... 7.28 states/eV/cell
DFT total energy ... -8.9206 eV/atom
Formation energy ... -0.48 eV per atom

Entry 3:
Below is a geometry-optimized HfFe3P2 structure, with properties calculated at the PBE level.

Structure (CIF):
```
data_HfFe3P2
_space_group_name_H-M_alt 'C 1 2/m 1'
_space_group_IT_number 12
_space_group_name_Hall '-C 2y'
_cell_length_a 14.560
_cell_length_b 3.575
_cell_length_c 8.932
_cell_angle_alpha 90.00
_cell_angle_beta 107.22
_cell_angle_gamma 90.00
loop_
_atom_site_label
_atom_site_fract_x
_atom_site_fract_y
_atom_site_fract_z
_atom_site_occupancy
Hf1 0.000 0.000 0.000 1
Hf2 0.159 0.000 0.696 1
Fe1 0.000 0.500 0.500 1
Fe2 0.042 0.000 0.334 1
Fe3 0.121 0.500 0.202 1
Fe4 0.179 0.500 0.966 1
Fe5 0.216 0.000 0.390 1
P1 0.039 0.500 0.785 1
P2 0.141 0.500 0.455 1
P3 0.198 0.000 0.134 1
```

DOS(E_F) ... 30.89 states/eV/cell
DFT total energy ... -8.4677 eV/atom
Formation energy ... -0.77 eV per atom

Entry 4:
Below is a geometry-optimized Hf3Fe6P5 structure, with properties calculated at the PBE level.

Structure (CIF):
```
data_Hf3Fe6P5
_space_group_name_H-M_alt 'P m m n'
_space_group_IT_number 59
_cell_length_a 3.653
_cell_length_b 11.236
_cell_length_c 8.784
_cell_angle_alpha 90.00
_cell_angle_beta 90.00
_cell_angle_gamma 90.00
loop_
_space_group_symop_operation_xyz
'x,y,z'
'-x,-y,-z'
'-x+1/2,-y+1/2,z'
'x+1/2,y+1/2,-z'
'x+1/2,-y,-z'
'-x+1/2,y,z'
'-x,y+1/2,-z'
'x,-y+1/2,z'
loop_
_atom_site_label
_atom_site_fract_x
_atom_site_fract_y
_atom_site_fract_z
_atom_site_occupancy
Hf1 0.250 0.094 0.245 1
Hf2 0.250 0.750 0.257 1
Fe1 0.250 0.055 0.592 1
Fe2 0.250 0.250 0.482 1
Fe3 0.250 0.250 0.980 1
Fe4 0.250 0.581 0.011 1
P1 0.250 0.077 0.847 1
P2 0.250 0.631 0.525 1
P3 0.250 0.750 0.881 1
```

DOS(E_F) ... 19.36 states/eV/cell
DFT total energy ... -8.5687 eV/atom
Formation energy ... -0.88 eV per atom

Entry 5:
Below is a geometry-optimized HfPaFe2P2 structure, with properties calculated at the PBE level.

Structure (CIF):
```
data_HfPaFe2P2
_space_group_name_H-M_alt 'P -3 m 1'
_space_group_IT_number 164
_space_group_name_Hall '-P 3 2"'
_cell_length_a 3.8178
_cell_length_b 3.8178
_cell_length_c 7.3218
_cell_angle_alpha 90.00
_cell_angle_beta 90.00
_cell_angle_gamma 120.00
loop_
_atom_site_label
_atom_site_fract_x
_atom_site_fract_y
_atom_site_fract_z
_atom_site_occupancy
Hf1 0.0000 0.0000 0.0000 1
Pa1 0.0000 0.0000 0.5000 1
Fe1 0.3333 0.6667 0.2592 1
P1 0.3333 0.6667 0.7777 1
```

DOS(E_F) ... 7.48 states/eV/cell
DFT total energy ... -8.7763 eV/atom
Formation energy ... -0.91 eV per atom

Entry 6:
Below is a geometry-optimized HfFePPd2 structure, with properties calculated at the PBE level.

Structure (CIF):
```
data_HfFePPd2
_space_group_name_H-M_alt 'P 4/m m m'
_space_group_IT_number 123
_space_group_name_Hall '-P 4 2'
_cell_length_a 4.867
_cell_length_b 4.867
_cell_length_c 4.554
_cell_angle_alpha 90.00
_cell_angle_beta 90.00
_cell_angle_gamma 90.00
loop_
_atom_site_label
_atom_site_fract_x
_atom_site_fract_y
_atom_site_fract_z
_atom_site_occupancy
Hf1 0.000 0.000 0.000 1
Fe1 0.000 0.000 0.500 1
P1 0.500 0.500 0.500 1
Pd1 0.000 0.500 0.000 1
```

DOS(E_F) ... 3.89 states/eV/cell
DFT total energy ... -5.6725 eV/atom
Formation energy ... 1.17 eV per atom

Entry 7:
Below is a geometry-optimized HfFePS2 structure, with properties calculated at the PBE level.

Structure (CIF):
```
data_HfFePS2
_space_group_name_H-M_alt 'P 4/m m m'
_space_group_IT_number 123
_space_group_name_Hall '-P 4 2'
_cell_length_a 4.340
_cell_length_b 4.340
_cell_length_c 4.526
_cell_angle_alpha 90.00
_cell_angle_beta 90.00
_cell_angle_gamma 90.00
loop_
_atom_site_label
_atom_site_fract_x
_atom_site_fract_y
_atom_site_fract_z
_atom_site_occupancy
Hf1 0.000 0.000 0.000 1
Fe1 0.500 0.500 0.500 1
P1 0.500 0.500 0.000 1
S1 0.000 0.500 0.500 1
```

DOS(E_F) ... 4.99 states/eV/cell
DFT total energy ... -6.3351 eV/atom
E_form (uncorrected) ... 0.081 eV/atom

Entry 8:
Below is a geometry-optimized HfFePS2 structure, with properties calculated at the PBE level.

Structure (CIF):
```
data_HfFePS2
_space_group_name_H-M_alt 'P 4/m m m'
_space_group_IT_number 123
_space_group_name_Hall '-P 4 2'
_cell_length_a 4.861
_cell_length_b 4.861
_cell_length_c 5.054
_cell_angle_alpha 90.00
_cell_angle_beta 90.00
_cell_angle_gamma 90.00
loop_
_atom_site_label
_atom_site_fract_x
_atom_site_fract_y
_atom_site_fract_z
_atom_site_occupancy
Hf1 0.000 0.000 0.000 1
Fe1 0.500 0.500 0.500 1
P1 0.000 0.000 0.500 1
S1 0.000 0.500 0.000 1
```

DOS(E_F) ... 3.70 states/eV/cell
DFT total energy ... -6.1804 eV/atom
E_form (uncorrected) ... 0.236 eV/atom

Entry 9:
Below is a geometry-optimized HfPaFe2 structure, with properties calculated at the PBE level.

Structure (CIF):
```
data_HfPaFe2
_space_group_name_H-M_alt 'P 4/m m m'
_space_group_IT_number 123
_space_group_name_Hall '-P 4 2'
_cell_length_a 4.613
_cell_length_b 4.613
_cell_length_c 3.192
_cell_angle_alpha 90.00
_cell_angle_beta 90.00
_cell_angle_gamma 90.00
loop_
_atom_site_label
_atom_site_fract_x
_atom_site_fract_y
_atom_site_fract_z
_atom_site_occupancy
Hf1 0.000 0.000 0.000 1
Pa1 0.500 0.500 0.000 1
Fe1 0.000 0.500 0.500 1
```

DOS(E_F) ... 3.69 states/eV/cell
DFT total energy ... -9.2243 eV/atom
Formation energy ... -0.13 eV per atom

Entry 10:
Below is a geometry-optimized Hf2PaFe9 structure, with properties calculated at the PBE level.

Structure (CIF):
```
data_Hf2PaFe9
_space_group_name_H-M_alt 'R -3 m'
_space_group_IT_number 166
_space_group_name_Hall '-R 3 2"'
_cell_length_a 4.9158
_cell_length_b 4.9158
_cell_length_c 24.2408
_cell_angle_alpha 90.00
_cell_angle_beta 90.00
_cell_angle_gamma 120.00
loop_
_atom_site_label
_atom_site_fract_x
_atom_site_fract_y
_atom_site_fract_z
_atom_site_occupancy
Hf1 0.0000 0.0000 0.1426 1
Pa1 0.0000 0.0000 0.0000 1
Fe1 0.0000 0.0000 0.3330 1
Fe2 0.0000 0.0000 0.5000 1
Fe3 0.0033 0.5017 0.9145 1
```

DOS(E_F) ... 36.92 states/eV/cell
DFT total energy ... -9.0261 eV/atom
Formation energy ... -0.23 eV per atom

Entry 11:
Below is a geometry-optimized HfPaFe4 structure, with properties calculated at the PBE level.

Structure (CIF):
```
data_HfPaFe4
_space_group_name_H-M_alt 'F -4 3 m'
_space_group_IT_number 216
_space_group_name_Hall 'F -4 2 3'
_cell_length_a 7.072
_cell_length_b 7.072
_cell_length_c 7.072
_cell_angle_alpha 90.00
_cell_angle_beta 90.00
_cell_angle_gamma 90.00
loop_
_atom_site_label
_atom_site_fract_x
_atom_site_fract_y
_atom_site_fract_z
_atom_site_occupancy
Hf1 0.000 0.000 0.000 1
Pa1 0.250 0.250 0.750 1
Fe1 0.125 0.125 0.375 1
```

DOS(E_F) ... 38.15 states/eV/cell
DFT total energy ... -9.0571 eV/atom
Formation energy ... -0.17 eV per atom

Entry 12:
Below is a geometry-optimized HfPaFe2 structure, with properties calculated at the PBE level.

Structure (CIF):
```
data_HfPaFe2
_space_group_name_H-M_alt 'F m -3 m'
_space_group_IT_number 225
_space_group_name_Hall '-F 4 2 3'
_cell_length_a 6.495
_cell_length_b 6.495
_cell_length_c 6.495
_cell_angle_alpha 90.00
_cell_angle_beta 90.00
_cell_angle_gamma 90.00
loop_
_atom_site_label
_atom_site_fract_x
_atom_site_fract_y
_atom_site_fract_z
_atom_site_occupancy
Hf1 0.000 0.000 0.000 1
Pa1 0.000 0.000 0.500 1
Fe1 0.250 0.250 0.250 1
```

DOS(E_F) ... 19.61 states/eV/cell
DFT total energy ... -9.1668 eV/atom
Formation energy ... -0.07 eV per atom

Entry 13:
Below is a geometry-optimized HfPaFeTc structure, with properties calculated at the PBE level.

Structure (CIF):
```
data_HfPaFeTc
_space_group_name_H-M_alt 'F -4 3 m'
_space_group_IT_number 216
_space_group_name_Hall 'F -4 2 3'
_cell_length_a 6.614
_cell_length_b 6.614
_cell_length_c 6.614
_cell_angle_alpha 90.00
_cell_angle_beta 90.00
_cell_angle_gamma 90.00
loop_
_atom_site_label
_atom_site_fract_x
_atom_site_fract_y
_atom_site_fract_z
_atom_site_occupancy
Hf1 0.000 0.000 0.000 1
Pa1 0.000 0.000 0.500 1
Fe1 0.250 0.250 0.250 1
Tc1 0.250 0.250 0.750 1
```

DOS(E_F) ... 14.42 states/eV/cell
DFT total energy ... -9.7643 eV/atom
Formation energy ... -0.19 eV per atom

Entry 14:
Below is a geometry-optimized Hf2FePb structure, with properties calculated at the PBE level.

Structure (CIF):
```
data_Hf2FePb
_space_group_name_H-M_alt 'I -4 2 d'
_space_group_IT_number 122
_space_group_name_Hall 'I -4 2bw'
_cell_length_a 7.551
_cell_length_b 7.551
_cell_length_c 5.875
_cell_angle_alpha 90.00
_cell_angle_beta 90.00
_cell_angle_gamma 90.00
loop_
_atom_site_label
_atom_site_fract_x
_atom_site_fract_y
_atom_site_fract_z
_atom_site_occupancy
Hf1 0.185 0.750 0.125 1
Fe1 0.000 0.000 0.000 1
Pb1 0.000 0.000 0.500 1
```

DOS(E_F) ... 13.63 states/eV/cell
DFT total energy ... -7.6895 eV/atom
Formation energy ... 0.33 eV per atom

Entry 15:
Below is a geometry-optimized HfFePb2 structure, with properties calculated at the PBE level.

Structure (CIF):
```
data_HfFePb2
_space_group_name_H-M_alt 'F m -3 m'
_space_group_IT_number 225
_space_group_name_Hall '-F 4 2 3'
_cell_length_a 6.929
_cell_length_b 6.929
_cell_length_c 6.929
_cell_angle_alpha 90.00
_cell_angle_beta 90.00
_cell_angle_gamma 90.00
loop_
_atom_site_label
_atom_site_fract_x
_atom_site_fract_y
_atom_site_fract_z
_atom_site_occupancy
Hf1 0.000 0.000 0.000 1
Fe1 0.000 0.000 0.500 1
Pb1 0.250 0.250 0.250 1
```

DOS(E_F) ... 31.41 states/eV/cell
DFT total energy ... -5.8314 eV/atom
Formation energy ... 0.63 eV per atom

Entry 16:
Below is a geometry-optimized Hf2FePb structure, with properties calculated at the PBE level.

Structure (CIF):
```
data_Hf2FePb
_space_group_name_H-M_alt 'R -3 m'
_space_group_IT_number 166
_space_group_name_Hall '-R 3 2"'
_cell_length_a 3.4044
_cell_length_b 3.4044
_cell_length_c 25.1581
_cell_angle_alpha 90.00
_cell_angle_beta 90.00
_cell_angle_gamma 120.00
loop_
_atom_site_label
_atom_site_fract_x
_atom_site_fract_y
_atom_site_fract_z
_atom_site_occupancy
Hf1 0.0000 0.0000 0.2293 1
Fe1 0.0000 0.0000 0.5000 1
Pb1 0.0000 0.0000 0.0000 1
```

DOS(E_F) ... 8.53 states/eV/cell
DFT total energy ... -7.9906 eV/atom
Formation energy ... 0.03 eV per atom

Entry 17:
Below is a geometry-optimized HfFePb3 structure, with properties calculated at the PBE level.

Structure (CIF):
```
data_HfFePb3
_space_group_name_H-M_alt 'P m -3 m'
_space_group_IT_number 221
_space_group_name_Hall '-P 4 2 3'
_cell_length_a 5.614
_cell_length_b 5.614
_cell_length_c 5.614
_cell_angle_alpha 90.00
_cell_angle_beta 90.00
_cell_angle_gamma 90.00
loop_
_atom_site_label
_atom_site_fract_x
_atom_site_fract_y
_atom_site_fract_z
_atom_site_occupancy
Hf1 0.000 0.000 0.000 1
Fe1 0.500 0.500 0.500 1
Pb1 0.000 0.000 0.500 1
```

DOS(E_F) ... 15.80 states/eV/cell
DFT total energy ... -4.8643 eV/atom
Formation energy ... 1.04 eV per atom

Entry 18:
Below is a geometry-optimized HfFePb3 structure, with properties calculated at the PBE level.

Structure (CIF):
```
data_HfFePb3
_space_group_name_H-M_alt 'P m -3 m'
_space_group_IT_number 221
_space_group_name_Hall '-P 4 2 3'
_cell_length_a 5.059
_cell_length_b 5.059
_cell_length_c 5.059
_cell_angle_alpha 90.00
_cell_angle_beta 90.00
_cell_angle_gamma 90.00
loop_
_atom_site_label
_atom_site_fract_x
_atom_site_fract_y
_atom_site_fract_z
_atom_site_occupancy
Hf1 0.000 0.000 0.000 1
Fe1 0.500 0.500 0.500 1
Pb1 0.000 0.500 0.500 1
```

DOS(E_F) ... 8.31 states/eV/cell
DFT total energy ... -5.1192 eV/atom
Formation energy ... 0.79 eV per atom

Entry 19:
Below is a geometry-optimized HfFePb2 structure, with properties calculated at the PBE level.

Structure (CIF):
```
data_HfFePb2
_space_group_name_H-M_alt 'I -4 2 d'
_space_group_IT_number 122
_space_group_name_Hall 'I -4 2bw'
_cell_length_a 4.349
_cell_length_b 4.349
_cell_length_c 20.438
_cell_angle_alpha 90.00
_cell_angle_beta 90.00
_cell_angle_gamma 90.00
loop_
_atom_site_label
_atom_site_fract_x
_atom_site_fract_y
_atom_site_fract_z
_atom_site_occupancy
Hf1 0.000 0.000 0.000 1
Fe1 0.000 0.000 0.500 1
Pb1 0.243 0.250 0.625 1
```

DOS(E_F) ... 18.98 states/eV/cell
DFT total energy ... -5.8314 eV/atom
Formation energy ... 0.63 eV per atom

Entry 20:
Below is a geometry-optimized Hf2FePb structure, with properties calculated at the PBE level.

Structure (CIF):
```
data_Hf2FePb
_space_group_name_H-M_alt 'P 4/m m m'
_space_group_IT_number 123
_space_group_name_Hall '-P 4 2'
_cell_length_a 3.140
_cell_length_b 3.140
_cell_length_c 8.110
_cell_angle_alpha 90.00
_cell_angle_beta 90.00
_cell_angle_gamma 90.00
loop_
_atom_site_label
_atom_site_fract_x
_atom_site_fract_y
_atom_site_fract_z
_atom_site_occupancy
Hf1 0.000 0.000 0.192 1
Fe1 0.500 0.500 0.000 1
Pb1 0.500 0.500 0.500 1
```

DOS(E_F) ... 2.71 states/eV/cell
DFT total energy ... -8.0933 eV/atom
Formation energy ... -0.07 eV per atom